{
  "formula": "AlSiCl3",
  "functional": "PBE-GGA",
  "state": "optimized geometry",
  "lattice": [[5.069, 0.000, 0.000], [0.000, 5.069, 0.000], [0.000, 0.000, 5.069]],
  "species": ["Si", "Al", "Cl", "Cl", "Cl"],
  "fractional_positions": [[0.000, 0.000, 0.000], [0.500, 0.500, 0.500], [0.000, 0.500, 0.000], [0.000, 0.000, 0.500], [0.500, 0.000, 0.000]],
  "polymorph_energy_ev_per_atom": 0.000,
  "dos_ef_per_ev_fu": 0.00,
  "magnetic_moment_mub_per_atom": 0.000,
  "volume_a3_per_fu": 130.2,
  "sg": "No. 221",
  "crystal_system": "cubic",
  "e_form_raw_ev_per_atom": -0.364
}



{
  "formula": "AlSi4Cl",
  "functional": "PBE-GGA",
  "state": "optimized geometry",
  "lattice": [[0.000, 3.705, 3.705], [3.705, 0.000, 3.705], [3.705, 3.705, 0.000]],
  "species": ["Al", "Si", "Si", "Si", "Si", "Cl"],
  "fractional_positions": [[0.750, 0.750, 0.750], [0.876, 0.375, 0.375], [0.375, 0.375, 0.876], [0.375, 0.876, 0.375], [0.375, 0.375, 0.375], [0.000, 0.000, 0.000]],
  "dos_ef_per_ev_fu": 3.44,
  "magnetic_moment_mub_per_atom": 0.000,
  "volume_a3_per_fu": 101.7,
  "sg": "No. 216",
  "crystal_system": "cubic",
  "e_form_raw_ev_per_atom": 0.450
}



Number 1: mass density 2.06 g/cm³. Number 2: mass density 2.85 g/cm³.